(1)
A geometry-optimized SbAsPS2 structure. Source: Alexandria, functional PBE-GGA.

Properties
Total moment   0.00 μB/f.u.
E_form (uncorrected)   0.59 eV per atom
Energy   -3.901 eV per atom
Energy relative to the lowest polymorph listed for this composition   0.000 eV per atom

CIF file:
```
data_SbAsPS2
_symmetry_space_group_name_H-M 'P 4/m m m'
_symmetry_Int_Tables_number 123
_symmetry_space_group_name_Hall '-P 4 2'
_cell_length_a 4.729
_cell_length_b 4.729
_cell_length_c 4.805
_cell_angle_alpha 90.00
_cell_angle_beta 90.00
_cell_angle_gamma 90.00
loop_
_atom_site_label
_atom_site_type_symbol
_atom_site_fract_x
_atom_site_fract_y
_atom_site_fract_z
Sb1 Sb 0.000 0.000 0.000
As1 As 0.500 0.500 0.500
P1 P 0.500 0.500 0.000
S1 S 0.000 0.500 0.500
```

---

(2)
A geometry-optimized CdSnBr structure. Source: Alexandria, functional PBE-GGA.

Properties
Total moment   0.00 μB/f.u.
E_form (uncorrected)   -0.23 eV per atom
Energy   -2.432 eV per atom
Energy relative to the lowest polymorph listed for this composition   0.053 eV per atom

CIF file:
```
data_CdSnBr
_symmetry_space_group_name_H-M 'P -1'
_symmetry_Int_Tables_number 2
_cell_length_a 3.653
_cell_length_b 6.380
_cell_length_c 7.991
_cell_angle_alpha 73.74
_cell_angle_beta 89.97
_cell_angle_gamma 74.38
loop_
_symmetry_equiv_pos_as_xyz
'x,y,z'
'-x,-y,-z'
loop_
_atom_site_label
_atom_site_type_symbol
_atom_site_fract_x
_atom_site_fract_y
_atom_site_fract_z
Cd1 Cd 0.034 0.435 0.255
Sn1 Sn 0.360 0.793 0.956
Br1 Br 0.158 0.190 0.611
```

---

(3)
A geometry-optimized Cd2In2Hg5 structure. Source: Alexandria, functional PBE-GGA.

Properties
Total moment   0.00 μB/f.u.
Energy   -0.956 eV per atom
Energy relative to the lowest polymorph listed for this composition   0.000 eV per atom

CIF file:
```
data_Cd2In2Hg5
_symmetry_space_group_name_H-M 'P -3 m 1'
_symmetry_Int_Tables_number 164
_symmetry_space_group_name_Hall '-P 3 2"'
_cell_length_a 3.5076
_cell_length_b 3.5076
_cell_length_c 22.3250
_cell_angle_alpha 90.00
_cell_angle_beta 90.00
_cell_angle_gamma 120.00
loop_
_atom_site_label
_atom_site_type_symbol
_atom_site_fract_x
_atom_site_fract_y
_atom_site_fract_z
Cd1 Cd 0.3333 0.6667 0.1551
In1 In 0.3333 0.6667 0.6092
Hg1 Hg 0.0000 0.0000 0.5000
Hg2 Hg 0.3333 0.6667 0.2815
Hg3 Hg 0.3333 0.6667 0.9471
```

---

(4)
A geometry-optimized PaNiN2 structure. Source: Alexandria, functional PBE-GGA.

Properties
Total moment   0.37 μB/f.u.
E_form (uncorrected)   -1.02 eV per atom
Energy   -9.003 eV per atom
Energy relative to the lowest polymorph listed for this composition   0.000 eV per atom

CIF file:
```
data_PaNiN2
_symmetry_space_group_name_H-M 'P 1 21/c 1'
_symmetry_Int_Tables_number 14
_cell_length_a 6.392
_cell_length_b 5.941
_cell_length_c 6.984
_cell_angle_alpha 90.00
_cell_angle_beta 122.95
_cell_angle_gamma 90.00
loop_
_symmetry_equiv_pos_as_xyz
'x,y,z'
'-x,-y,-z'
'-x,y+1/2,-z+1/2'
'x,-y+1/2,z+1/2'
loop_
_atom_site_label
_atom_site_type_symbol
_atom_site_fract_x
_atom_site_fract_y
_atom_site_fract_z
Pa1 Pa 0.222 0.149 0.457
Ni1 Ni 0.303 0.668 0.604
N1 N 0.014 0.678 0.880
N2 N 0.444 0.096 0.277
```

---

(5)
A geometry-optimized Ac8Co4Te structure. Source: Alexandria, functional PBE-GGA.

Properties
Total moment   0.00 μB/f.u.
E_form (uncorrected)   -0.20 eV per atom
Energy   -5.161 eV per atom

CIF file:
```
data_Ac8Co4Te
_symmetry_space_group_name_H-M 'C 1 m 1'
_symmetry_Int_Tables_number 8
_cell_length_a 19.935
_cell_length_b 4.301
_cell_length_c 14.086
_cell_angle_alpha 90.00
_cell_angle_beta 134.82
_cell_angle_gamma 90.00
loop_
_symmetry_equiv_pos_as_xyz
'x,y,z'
'x,-y,z'
'x+1/2,y+1/2,z'
'x+1/2,-y+1/2,z'
loop_
_atom_site_label
_atom_site_type_symbol
_atom_site_fract_x
_atom_site_fract_y
_atom_site_fract_z
Ac1 Ac 0.000 0.000 0.000
Ac2 Ac 0.019 0.000 0.294
Ac3 Ac 0.040 0.000 0.726
Ac4 Ac 0.183 0.500 0.643
Ac5 Ac 0.205 0.500 0.075
Ac6 Ac 0.224 0.500 0.369
Ac7 Ac 0.314 0.000 0.977
Ac8 Ac 0.409 0.000 0.392
Co1 Co 0.013 0.500 0.156
Co2 Co 0.040 0.000 0.514
Co3 Co 0.184 0.500 0.855
Co4 Co 0.211 0.000 0.214
Te1 Te 0.362 0.000 0.685
```

---

(6)
A geometry-optimized TiBiPd6 structure. Source: Alexandria, functional PBE-GGA.

Properties
Total moment   0.00 μB/f.u.
Energy   -5.801 eV per atom
Energy relative to the lowest polymorph listed for this composition   0.000 eV per atom

CIF file:
```
data_TiBiPd6
_symmetry_space_group_name_H-M 'P 4/m m m'
_symmetry_Int_Tables_number 123
_symmetry_space_group_name_Hall '-P 4 2'
_cell_length_a 4.033
_cell_length_b 4.033
_cell_length_c 8.092
_cell_angle_alpha 90.00
_cell_angle_beta 90.00
_cell_angle_gamma 90.00
loop_
_atom_site_label
_atom_site_type_symbol
_atom_site_fract_x
_atom_site_fract_y
_atom_site_fract_z
Ti1 Ti 0.000 0.000 0.000
Bi1 Bi 0.000 0.000 0.500
Pd1 Pd 0.000 0.500 0.230
Pd2 Pd 0.500 0.500 0.000
Pd3 Pd 0.500 0.500 0.500
```